# 1
The following is a DFT calculation (PBE) of a geometry-optimized Zr2InPdPt structure.

Computed properties:
**D(E_F)**: 5.39 states/eV per cell
**Crystal system**: tetragonal
**E_tot**: -5.92 eV per atom

abc: 4.9373 4.9373 4.9835
angles: 90.00 90.00 90.00
Space group P4/mmm (No. 123)
Unique sites:
Zr 0.0000 0.5000 0.0000 (multiplicity 2)
In 0.0000 0.0000 0.5000 (multiplicity 1)
Pd 0.5000 0.5000 0.0000 (multiplicity 1)
Pt 0.5000 0.5000 0.5000 (multiplicity 1)


# 2
The following is a DFT calculation (PBE) of a geometry-optimized ZrInPdPt2 structure.

Computed properties:
**D(E_F)**: 3.38 states/eV per cell
**Crystal system**: tetragonal
**E_tot**: -5.23 eV per atom

abc: 5.0188 5.0188 4.9717
angles: 90.00 90.00 90.00
Space group P4/mmm (No. 123)
Unique sites:
Zr 0.0000 0.0000 0.0000 (multiplicity 1)
In 0.5000 0.5000 0.5000 (multiplicity 1)
Pd 0.0000 0.0000 0.5000 (multiplicity 1)
Pt 0.0000 0.5000 0.0000 (multiplicity 2)


# 3
The following is a DFT calculation (PBE) of a geometry-optimized PuIn2Pd8 structure.

Computed properties:
**D(E_F)**: 27.31 states/eV per cell
**Crystal system**: orthorhombic
**E_tot**: -6.01 eV per atom

abc: 4.1962 7.4493 12.5829
angles: 90.00 90.00 90.00
Space group Immm (No. 71)
Unique sites:
Pu 0.0000 0.0000 0.0000 (multiplicity 2)
In 0.0000 0.0000 0.3221 (multiplicity 4)
Pd 0.0000 0.2176 0.5000 (multiplicity 4)
Pd 0.0000 0.2656 0.1640 (multiplicity 8)
Pd 0.0000 0.5000 0.3447 (multiplicity 4)


# 4
The following is a DFT calculation (PBE) of a geometry-optimized PuInPd5 structure.

Computed properties:
**D(E_F)**: 31.38 states/eV per cell
**Crystal system**: orthorhombic
**E_tot**: -6.30 eV per atom

abc: 5.4244 7.0464 7.3704
angles: 90.00 90.00 90.00
Space group Imm2 (No. 44)
Unique sites:
Pu 0.0000 0.0000 0.0000 (multiplicity 2)
In 0.0000 0.5000 0.8404 (multiplicity 2)
Pd 0.0000 0.0000 0.3438 (multiplicity 2)
Pd 0.0000 0.3145 0.5127 (multiplicity 4)
Pd 0.2438 0.5000 0.1811 (multiplicity 4)


# 5
The following is a DFT calculation (PBE) of a geometry-optimized PuIn5Pd6 structure.

Computed properties:
**D(E_F)**: 16.87 states/eV per cell
**Crystal system**: monoclinic
**E_tot**: -5.40 eV per atom

abc: 4.7382 6.7261 7.4359
angles: 90.00 107.99 90.00
Space group P2/m (No. 10)
Unique sites:
Pu 0.0000 0.0000 0.0000 (multiplicity 1)
In 0.0000 0.5000 0.0000 (multiplicity 1)
In 0.3329 0.0000 0.6650 (multiplicity 2)
In 0.3364 0.5000 0.6739 (multiplicity 2)
Pd 0.1728 0.2614 0.3452 (multiplicity 4)
Pd 0.5000 0.2634 0.0000 (multiplicity 2)


# 6
The following is a DFT calculation (PBE) of a geometry-optimized PuInPd6 structure.

Computed properties:
**D(E_F)**: 16.81 states/eV per cell
**Polymorph energy (0 for the lowest one)**: 31 meV per atom
**Crystal system**: hexagonal
**E_tot**: -6.51 eV per atom

abc: 5.8254 5.8254 4.6824
angles: 90.00 90.00 120.00
Space group P-6m2 (No. 187)
Unique sites:
Pu 0.0000 0.0000 0.0000 (multiplicity 1)
In 0.6667 0.3333 0.5000 (multiplicity 1)
Pd 0.0020 0.5010 0.0000 (multiplicity 3)
Pd 0.1708 0.3415 0.5000 (multiplicity 3)


# 7
The following is a DFT calculation (PBE) of a geometry-optimized PuIn6Pd3 structure.

Computed properties:
**D(E_F)**: 30.84 states/eV per cell
**Crystal system**: monoclinic
**E_tot**: -4.95 eV per atom

abc: 9.3659 4.6057 11.3178
angles: 90.00 114.38 90.00
Space group P2_1/m (No. 11)
Unique sites:
Pu 0.1261 0.2500 0.1485 (multiplicity 2)
In 0.1243 0.2500 0.8623 (multiplicity 2)
In 0.1409 0.7500 0.3937 (multiplicity 2)
In 0.1658 0.7500 0.6972 (multiplicity 2)
In 0.3718 0.2500 0.4720 (multiplicity 2)
In 0.3981 0.7500 0.2436 (multiplicity 2)
In 0.4700 0.2500 0.0821 (multiplicity 2)
Pd 0.1188 0.2500 0.5335 (multiplicity 2)
Pd 0.2644 0.7500 0.9766 (multiplicity 2)
Pd 0.4268 0.7500 0.6460 (multiplicity 2)


# 8
The following is a DFT calculation (PBE) of a geometry-optimized PuIn2Pd2 structure.

Computed properties:
**D(E_F)**: 23.53 states/eV per cell
**Crystal system**: orthorhombic
**E_tot**: -6.41 eV per atom

abc: 3.4017 4.8982 12.7269
angles: 90.00 90.00 90.00
Space group Pmmn (No. 59, origin choice 2)
Unique sites:
Pu 0.2500 0.2500 0.2499 (multiplicity 2)
In 0.2500 0.2500 0.6329 (multiplicity 2)
In 0.2500 0.7500 0.9731 (multiplicity 2)
Pd 0.2500 0.2500 0.8498 (multiplicity 2)
Pd 0.2500 0.7500 0.5365 (multiplicity 2)